An optimized crystal structure of ZrAl2Si. Source: the Alexandria database, functional PBE.

Summary:
The formation energy without anion corrections comes out at -0.20 eV/atom. The magnetic moment is 0.00 μB per cell.

Cell lengths 5.0973, 5.0973, 3.0034 Å; angles 90.00, 90.00, 114.99 degrees
Sites, in units of the cell vectors:
Si: 0.5000 0.0000 0.5000
Al: 0.0000 0.0000 0.0000
Al: 0.5000 0.5000 0.0000
Zr: 0.0000 0.5000 0.5000